Entry from the Alexandria database: an optimized crystal structure of Ba2Mn2MoO6 (GGA+U).

a b c (Å): 6.1302 6.1302 16.8973
angles (deg): 90.00 90.00 120.00
Space group R-3m (No. 166, hexagonal axes)
Inequivalent atoms, fractional coordinates:
Ba 0.0000 0.0000 0.2097 [6 per cell]
Mn 0.0000 0.0000 0.4098 [6 per cell]
Mo 0.0000 0.0000 0.0000 [3 per cell]
O 0.0338 0.5169 0.7476 [18 per cell]

The calculation puts the total energy at -228.98 eV/cell. As for the total magnetization: 12.00 μB per formula unit. The density is 5.22 Mg/m³.

---

Entry from the Alexandria database: an optimized crystal structure of Ba3MnMo2O9 (GGA+U).

a b c (Å): 5.9077 5.9077 7.1406
angles (deg): 90.00 90.00 120.00
Space group P-3m1 (No. 164)
Inequivalent atoms, fractional coordinates:
Ba 0.0000 0.0000 0.0000 [1 per cell]
Ba 0.3333 0.6667 0.6669 [2 per cell]
Mn 0.0000 0.0000 0.5000 [1 per cell]
Mo 0.3333 0.6667 0.1718 [2 per cell]
O 0.0000 0.5000 0.0000 [3 per cell]
O 0.1731 0.3462 0.3189 [6 per cell]

The calculation puts the total energy at -105.79 eV/cell. As for the total magnetization: 7.00 μB per formula unit. The density is 6.18 Mg/m³.

---

Entry from the Alexandria database: an optimized crystal structure of Ba3Mn2MoO8 (GGA+U).

a b c (Å): 5.8779 5.8779 7.7056
angles (deg): 90.00 90.00 120.00
Space group P-3m1 (No. 164)
Inequivalent atoms, fractional coordinates:
Ba 0.0000 0.0000 0.0000 [1 per cell]
Ba 0.3333 0.6667 0.6497 [2 per cell]
Mn 0.3333 0.6667 0.2083 [2 per cell]
Mo 0.0000 0.0000 0.5000 [1 per cell]
O 0.1557 0.3114 0.3502 [6 per cell]
O 0.3333 0.6667 0.9619 [2 per cell]

The calculation puts the total energy at -96.51 eV/cell. As for the total magnetization: 10.00 μB per formula unit. The density is 5.37 Mg/m³.

---

Entry from the Alexandria database: an optimized crystal structure of Ba3Mn2MoO6 (GGA+U).

a b c (Å): 6.0611 6.0611 7.0358
angles (deg): 90.00 90.00 120.00
Space group P-3m1 (No. 164)
Inequivalent atoms, fractional coordinates:
Ba 0.0000 0.0000 0.0000 [1 per cell]
Ba 0.3333 0.6667 0.6324 [2 per cell]
Mn 0.3333 0.6667 0.1814 [2 per cell]
Mo 0.0000 0.0000 0.5000 [1 per cell]
O 0.1647 0.3293 0.3134 [6 per cell]

The calculation puts the total energy at -80.01 eV/cell. As for the total magnetization: 13.74 μB per formula unit. The density is 5.30 Mg/m³.

---

Entry from the Alexandria database: an optimized crystal structure of BaMnMoO6 (GGA+U).

a b c (Å): 5.2071 5.2071 5.7763
angles (deg): 90.00 90.00 120.00
Space group P312 (No. 149)
Inequivalent atoms, fractional coordinates:
Ba 0.0000 0.0000 0.0000 [1 per cell]
Mn 0.6667 0.3333 0.5000 [1 per cell]
Mo 0.3333 0.6667 0.5000 [1 per cell]
O 0.3936 0.0016 0.6899 [6 per cell]

The calculation puts the total energy at -63.42 eV/cell. As for the total magnetization: 2.99 μB per formula unit. The density is 4.70 Mg/m³.

---

Entry from the Alexandria database: an optimized crystal structure of Ba2MnMoO6 (GGA+U).

a b c (Å): 8.3157 8.3157 8.3157
angles (deg): 90.00 90.00 90.00
Space group Fm-3m (No. 225)
Inequivalent atoms, fractional coordinates:
Ba 0.2500 0.2500 0.2500 [8 per cell]
Mn 0.0000 0.0000 0.0000 [4 per cell]
Mo 0.0000 0.0000 0.5000 [4 per cell]
O 0.0000 0.0000 0.2646 [24 per cell]

The calculation puts the total energy at -283.29 eV/cell. As for the total magnetization: 5.00 μB per formula unit. The density is 6.02 Mg/m³.

---

Look up the total magnetization of the first one.
12.00 μB per formula unit

---

Number 2 is which compound?
Ba3MnMo2O9

---

Which value of total magnetization does entry 5 give?
2.99 μB per formula unit

---

total magnetization of number 4 (Ba3Mn2MoO6)?
13.74 μB per formula unit